# 1
## CaCo2Pd (PBE)

Data for an optimized crystal structure of CaCo2Pd.

Cell: 9.694 9.694 9.694 Å, 155.95 155.95 34.27°
Element x y z (fractional)
Ca  0.000  0.000  0.000
Ca  0.750  0.250  0.500
Co  0.255  0.625  0.130
Co  0.375  0.505  0.630
Co  0.495  0.125  0.870
Co  0.875  0.745  0.370
Pd  0.250  0.750  0.500
Pd  0.500  0.500  0.000

Total moment   3.29 μB/f.u.

=====

# 2
## CaCo2Pd (PBE)

Data for an optimized crystal structure of CaCo2Pd.

Cell: 4.462 4.462 4.462 Å, 60.00 60.00 60.00°
Element x y z (fractional)
Ca  0.000  0.000  0.000
Co  0.250  0.250  0.250
Co  0.750  0.750  0.750
Pd  0.500  0.500  0.500

Total moment   3.02 μB/f.u.

=====

# 3
## Ca2CoPd2 (PBE)

Data for an optimized crystal structure of Ca2CoPd2.

Cell: 4.861 4.861 5.772 Å, 90.00 90.00 90.00°
Element x y z (fractional)
Ca  0.000  0.000  0.000
Ca  0.000  0.000  0.500
Co  0.500  0.500  0.000
Pd  0.000  0.500  0.500
Pd  0.500  0.000  0.500

Excess energy over the best structure of this formula in the dataset   1.364 eV/atom
Total moment   1.49 μB/f.u.

=====

# 4
## Ca2CoPd (PBE)

Data for an optimized crystal structure of Ca2CoPd.

Cell: 6.177 6.177 6.177 Å, 104.19 104.19 120.64°
Element x y z (fractional)
Ca  0.119  0.125  0.494
Ca  0.375  0.881  0.006
Ca  0.631  0.625  0.506
Ca  0.875  0.369  0.994
Co  0.000  0.000  0.000
Co  0.750  0.250  0.500
Pd  0.250  0.750  0.500
Pd  0.500  0.500  0.000

Total moment   1.01 μB/f.u.

=====

# 5
## CaCoPd3 (PBE)

Data for an optimized crystal structure of CaCoPd3.

Cell: 4.664 4.664 4.664 Å, 90.00 90.00 90.00°
Element x y z (fractional)
Ca  0.000  0.000  0.000
Co  0.500  0.500  0.500
Pd  0.000  0.500  0.500
Pd  0.500  0.000  0.500
Pd  0.500  0.500  0.000

Excess energy over the best structure of this formula in the dataset   0.000 eV/atom
Total moment   2.70 μB/f.u.

=====

# 6
## CaCo2Pd2 (PBE)

Data for an optimized crystal structure of CaCo2Pd2.

Cell: 7.505 7.505 2.826 Å, 90.00 90.00 90.00°
Element x y z (fractional)
Ca  0.000  0.000  0.000
Ca  0.500  0.500  0.000
Co  0.108  0.392  0.000
Co  0.392  0.892  0.000
Co  0.608  0.108  0.000
Co  0.892  0.608  0.000
Pd  0.185  0.685  0.500
Pd  0.315  0.185  0.500
Pd  0.685  0.815  0.500
Pd  0.815  0.315  0.500

Excess energy over the best structure of this formula in the dataset   0.013 eV/atom
Total moment   3.94 μB/f.u.

=====

| no. | final energy (eV/cell) |
| --- | --- |
| 1 | -40.304 |
| 2 | -20.071 |
| 3 | -16.090 |
| 4 | -30.919 |
| 5 | -24.267 |
| 6 | -53.524 |